## ScMoOF2 (PBE with a Hubbard U)

Data for an optimized crystal structure of ScMoOF2.

Summary:
crystal system	tetragonal
polymorph energy (0 for the lowest one)	0	meV/atom

Unit cell a=4.204 b=4.204 c=4.088 alpha=90.00 beta=90.00 gamma=90.00
Space group P4/mmm (No. 123)
One atom of each set of equivalent atoms:
Sc (0.000, 0.000, 0.000)
Mo (0.500, 0.500, 0.500)
O (0.000, 0.000, 0.500)
F (0.000, 0.500, 0.000)